Record 1
# HfTl3Pt

An optimized crystal structure of HfTl3Pt (PBE, Alexandria).

The calculation puts the formation energy from the elements at 0.649 eV per atom. As for the energy above the most stable polymorph in this dataset: 0.0 meV per atom. The calculation puts the density at 11394 kg/m3. The calculation puts the size of the total moment at 0.00 μB/cell.

abc: 5.2390 5.2390 5.2390
angles: 90.00 90.00 90.00
Closest atoms and distances in Å follow each position.
Fractional positions:
Hf (0.0000, 0.0000, 0.0000)  12 Tl 3.70
Tl (0.0000, 0.5000, 0.5000)  2 Pt 2.62
Tl (0.5000, 0.0000, 0.5000)  2 Pt 2.62
Tl (0.5000, 0.5000, 0.0000)  2 Pt 2.62
Pt (0.5000, 0.5000, 0.5000)  6 Tl 2.62


Record 2
# PdRu2Cl

An optimized crystal structure of PdRu2Cl (PBE, Alexandria).

As for the energy above the most stable polymorph in this dataset: 0.0 meV per atom. The calculation puts the density at 9600 kg/m3. The calculation puts the size of the total moment at 0.01 μB/cell.

abc: 4.3822 4.3822 4.3822
angles: 60.00 60.00 60.00
Closest atoms and distances in Å follow each position.
Fractional positions:
Pd (0.0000, 0.0000, 0.0000)  8 Ru 2.68
Ru (0.2500, 0.2500, 0.2500)  4 Cl 2.68, 4 Pd 2.68
Ru (0.7500, 0.7500, 0.7500)  4 Cl 2.68, 4 Pd 2.68
Cl (0.5000, 0.5000, 0.5000)  8 Ru 2.68


Record 3
# FeSiIrRu

An optimized crystal structure of FeSiIrRu (PBE, Alexandria).

The calculated total energy comes out at -33.40 eV/cell. The calculation puts the density at 11920 kg/m3. The calculation puts the size of the total moment at 4.18 μB/cell.

abc: 4.2043 4.2043 4.2043
angles: 60.00 60.00 60.00
Closest atoms and distances in Å follow each position.
Fractional positions:
Fe (0.0000, 0.0000, 0.0000)  4 Ru 2.57, 4 Ir 2.57
Si (0.5000, 0.5000, 0.5000)  4 Ru 2.57, 4 Ir 2.57
Ir (0.7500, 0.7500, 0.7500)  4 Fe 2.57, 4 Si 2.57
Ru (0.2500, 0.2500, 0.2500)  4 Si 2.57, 4 Fe 2.57


density of number 2 (PdRu2Cl)? 9600 kg/m3